Record 1
A relaxed Sr2TlHg2 crystal, computed with PBE-GGA.

Uncorrected energy, eV per cell: -7.5

POSCAR file:
```
Sr2TlHg2
1.0
-2.8775 2.8775 5.3857
2.8775 -2.8775 5.3857
2.8775 2.8775 -5.3857
Sr Tl Hg
2 1 2
Direct
0.2500 0.7500 0.5000
0.7500 0.2500 0.5000
0.0000 0.0000 0.0000
0.3739 0.3739 0.0000
0.6261 0.6261 0.0000
```

Record 2
A relaxed RbFeBiTe3 crystal, computed with PBE-GGA.

Uncorrected energy, eV per cell: -49.3

POSCAR file:
```
RbFeBiTe3
1.0
2.2417 -7.9554 0.0000
2.2417 7.9554 0.0000
0.0000 0.0000 12.1593
Rb Fe Bi Te
2 2 2 6
Direct
0.2395 0.7605 0.7500
0.7605 0.2395 0.2500
0.0418 0.9582 0.2500
0.9582 0.0418 0.7500
0.5000 0.5000 0.0000
0.5000 0.5000 0.5000
0.1305 0.8695 0.0669
0.1305 0.8695 0.4331
0.4460 0.5540 0.2500
0.5540 0.4460 0.7500
0.8695 0.1305 0.5669
0.8695 0.1305 0.9331
```